No. 1
# YV3Pt

Crystalline YV3Pt at its relaxed geometry (PBE, Alexandria via LeMat-Bulk).

Calculated values
Relative energy among the computed polymorphs = 1288.3 meV/atom
Symmetry = Pm-3m
DFT formation energy = 1.93 eV per atom
Electronic total energy = -30.2 eV per cell

Cell lengths 4.569, 4.569, 4.569 Å; angles 90.00, 90.00, 90.00 degrees
Fractional coordinates of all 5 atoms:
Y1 0.000 0.000 0.000
Pt1 0.500 0.500 0.500
V1 0.000 0.500 0.000
V2 0.000 0.000 0.500
V3 0.500 0.000 0.000



No. 2
# Na3TbNp2Te6

Crystalline Na3TbNp2Te6 at its relaxed geometry (PBE, Alexandria via LeMat-Bulk).

Calculated values
Symmetry = C2/m
Electronic total energy = -65.0 eV per cell

Cell lengths 7.748, 7.748, 7.963 Å; angles 99.33, 99.33, 120.00 degrees
Fractional coordinates of all 12 atoms:
Na1 0.167 0.833 0.500
Na2 0.833 0.167 0.500
Na3 0.500 0.500 0.500
Tb1 0.000 0.000 0.000
Np1 0.333 0.667 0.000
Np2 0.667 0.333 0.000
Te1 0.922 0.590 0.765
Te2 0.747 0.747 0.234
Te3 0.078 0.410 0.235
Te4 0.590 0.922 0.765
Te5 0.253 0.253 0.766
Te6 0.410 0.078 0.235



No. 3
# AcEu3Ru

Crystalline AcEu3Ru at its relaxed geometry (PBE, Alexandria via LeMat-Bulk).

Calculated values
Symmetry = Pm-3m
DFT formation energy = 0.08 eV per atom
Electronic total energy = -43.8 eV per cell

Cell lengths 5.627, 5.627, 5.627 Å; angles 90.00, 90.00, 90.00 degrees
Fractional coordinates of all 5 atoms:
Eu1 0.000 0.500 0.000
Eu2 0.000 0.000 0.500
Eu3 0.500 0.000 0.000
Ru1 0.000 0.000 0.000
Ac1 0.500 0.500 0.500



No. 4
# Mg5As

Crystalline Mg5As at its relaxed geometry (PBE, Alexandria via LeMat-Bulk).

Calculated values
Relative energy among the computed polymorphs = 0.0 meV/atom
Symmetry = Cmmm
DFT formation energy = -0.11 eV per atom
Electronic total energy = -13.3 eV per cell

Cell lengths 4.518, 4.205, 7.068 Å; angles 107.31, 90.00, 90.00 degrees
Fractional coordinates of all 6 atoms:
As1 0.000 0.000 0.000
Mg1 0.000 0.660 0.320
Mg2 0.000 0.340 0.680
Mg3 0.500 0.500 0.000
Mg4 0.500 0.168 0.336
Mg5 0.500 0.832 0.664